Record 1
# NbVTcRu GGA-PBE relaxed
data_NbVTcRu
_cell_length_a 4.3999
_cell_length_b 4.3999
_cell_length_c 4.3999
_cell_angle_alpha 60.00
_cell_angle_beta 60.00
_cell_angle_gamma 60.00
_space_group_name_H-M_alt 'P 1'
_space_group_IT_number 1
loop_
_space_group_symop_operation_xyz
'x,y,z'
loop_
_atom_site_label
_atom_site_type_symbol
_atom_site_fract_x
_atom_site_fract_y
_atom_site_fract_z
Tc1 Tc 0.2500 0.2500 0.2500
V1 V 0.0000 0.0000 0.0000
Nb1 Nb 0.5000 0.5000 0.5000
Ru1 Ru 0.7500 0.7500 0.7500
# ΔE_f ... -0.25 eV per atom
# Total energy ... -9.957 eV per atom
# Symmetry ... No. 216



Record 2
# Sm2Ho6Tm3Pu GGA-PBE relaxed
data_Sm2Ho6Tm3Pu
_cell_length_a 6.1045
_cell_length_b 6.1045
_cell_length_c 11.6397
_cell_angle_alpha 95.03
_cell_angle_beta 95.03
_cell_angle_gamma 120.04
_space_group_name_H-M_alt 'P 1'
_space_group_IT_number 1
loop_
_space_group_symop_operation_xyz
'x,y,z'
loop_
_atom_site_label
_atom_site_type_symbol
_atom_site_fract_x
_atom_site_fract_y
_atom_site_fract_z
Tm1 Tm 0.1670 0.8330 0.5000
Pu1 Pu 0.0000 0.0000 0.0000
Ho1 Ho 0.2461 0.2461 0.7486
Tm2 Tm 0.5000 0.5000 0.5000
Sm1 Sm 0.3335 0.6665 0.0000
Ho2 Ho 0.0833 0.4128 0.2512
Ho3 Ho 0.7539 0.7539 0.2514
Ho4 Ho 0.4128 0.0833 0.2512
Sm2 Sm 0.6665 0.3335 0.0000
Ho5 Ho 0.9167 0.5872 0.7488
Ho6 Ho 0.5872 0.9167 0.7488
Tm3 Tm 0.8330 0.1670 0.5000
# ΔE_f ... 0.05 eV per atom
# Total energy ... -5.339 eV per atom
# Symmetry ... No. 12



Record 3
# ScTlN2 GGA-PBE relaxed
data_ScTlN2
_cell_length_a 4.1550
_cell_length_b 4.1550
_cell_length_c 4.1550
_cell_angle_alpha 60.00
_cell_angle_beta 60.00
_cell_angle_gamma 60.00
_space_group_name_H-M_alt 'P 1'
_space_group_IT_number 1
loop_
_space_group_symop_operation_xyz
'x,y,z'
loop_
_atom_site_label
_atom_site_type_symbol
_atom_site_fract_x
_atom_site_fract_y
_atom_site_fract_z
Tl1 Tl 0.5000 0.5000 0.5000
Sc1 Sc 0.0000 0.0000 0.0000
N1 N 0.7500 0.7500 0.7500
N2 N 0.2500 0.2500 0.2500
# Total energy ... -5.841 eV per atom
# Formation energy without anion corrections ... 496 meV per atom
# Symmetry ... No. 225



Record 4
# Cu2Si2Bi GGA-PBE relaxed
data_Cu2Si2Bi
_cell_length_a 4.0871
_cell_length_b 4.0871
_cell_length_c 5.8739
_cell_angle_alpha 69.64
_cell_angle_beta 69.64
_cell_angle_gamma 90.00
_space_group_name_H-M_alt 'P 1'
_space_group_IT_number 1
loop_
_space_group_symop_operation_xyz
'x,y,z'
loop_
_atom_site_label
_atom_site_type_symbol
_atom_site_fract_x
_atom_site_fract_y
_atom_site_fract_z
Si1 Si 0.3829 0.3829 0.2342
Bi1 Bi 0.0000 0.0000 0.0000
Cu1 Cu 0.2500 0.7500 0.5000
Cu2 Cu 0.7500 0.2500 0.5000
Si2 Si 0.6171 0.6171 0.7658
# Total energy ... -4.399 eV per atom
# Formation energy without anion corrections ... 185 meV per atom
# Symmetry ... No. 139



Record 5
# YIn2Pd GGA-PBE relaxed
data_YIn2Pd
_cell_length_a 5.7219
_cell_length_b 7.4969
_cell_length_c 16.8303
_cell_angle_alpha 90.00
_cell_angle_beta 90.00
_cell_angle_gamma 90.00
_space_group_name_H-M_alt 'P 1'
_space_group_IT_number 1
loop_
_space_group_symop_operation_xyz
'x,y,z'
loop_
_atom_site_label
_atom_site_type_symbol
_atom_site_fract_x
_atom_site_fract_y
_atom_site_fract_z
In1 In 0.0303 0.5492 0.7837
Y1 Y 0.2692 0.7500 0.6076
Pd1 Pd 0.7786 0.7500 0.6703
In2 In 0.2641 0.0471 0.9683
In3 In 0.9697 0.0492 0.2163
In4 In 0.9697 0.4508 0.2163
Y2 Y 0.7692 0.2500 0.8924
In5 In 0.7641 0.5471 0.5317
Y3 Y 0.0300 0.2500 0.6442
Pd2 Pd 0.0089 0.7500 0.9253
Y4 Y 0.9700 0.7500 0.3558
In6 In 0.4697 0.5492 0.2837
In7 In 0.7359 0.5471 0.0317
In8 In 0.2359 0.0471 0.4683
Pd3 Pd 0.4911 0.7500 0.4253
In9 In 0.0303 0.9508 0.7837
Y5 Y 0.4700 0.2500 0.1442
Pd4 Pd 0.2786 0.2500 0.8297
In10 In 0.7359 0.9529 0.0317
In11 In 0.2359 0.4529 0.4683
Y6 Y 0.2308 0.7500 0.1076
In12 In 0.5303 0.4508 0.7163
Pd5 Pd 0.2214 0.2500 0.3297
In13 In 0.4697 0.9508 0.2837
Y7 Y 0.7308 0.2500 0.3924
In14 In 0.5303 0.0492 0.7163
Pd6 Pd 0.9911 0.2500 0.0747
In15 In 0.7641 0.9529 0.5317
Pd7 Pd 0.7214 0.7500 0.1703
In16 In 0.2641 0.4529 0.9683
Pd8 Pd 0.5089 0.2500 0.5747
Y8 Y 0.5300 0.7500 0.8558
# ΔE_f ... -0.63 eV per atom
# Total energy ... -4.914 eV per atom
# Symmetry ... No. 62



Record 6
# SrIn2Sb GGA-PBE relaxed
data_SrIn2Sb
_cell_length_a 8.9182
_cell_length_b 8.9182
_cell_length_c 7.1091
_cell_angle_alpha 51.15
_cell_angle_beta 51.15
_cell_angle_gamma 90.00
_space_group_name_H-M_alt 'P 1'
_space_group_IT_number 1
loop_
_space_group_symop_operation_xyz
'x,y,z'
loop_
_atom_site_label
_atom_site_type_symbol
_atom_site_fract_x
_atom_site_fract_y
_atom_site_fract_z
Sb1 Sb 0.7500 0.2500 0.5000
In1 In 0.0854 0.6250 0.2500
Sr1 Sr 0.5000 0.5000 0.0000
Sb2 Sb 0.0000 0.0000 0.0000
In2 In 0.6646 0.1250 0.2500
In3 In 0.8750 0.9146 0.7500
Sr2 Sr 0.2500 0.7500 0.5000
In4 In 0.3750 0.3354 0.7500
# Total energy ... -3.182 eV per atom
# Formation energy without anion corrections ... -361 meV per atom
# Symmetry ... No. 122



Record 7
# Mg2ZnGa2Ir5 GGA-PBE relaxed
data_Mg2ZnGa2Ir5
_cell_length_a 3.7478
_cell_length_b 9.1693
_cell_length_c 9.1693
_cell_angle_alpha 90.00
_cell_angle_beta 90.00
_cell_angle_gamma 90.00
_space_group_name_H-M_alt 'P 1'
_space_group_IT_number 1
loop_
_space_group_symop_operation_xyz
'x,y,z'
loop_
_atom_site_label
_atom_site_type_symbol
_atom_site_fract_x
_atom_site_fract_y
_atom_site_fract_z
Ga1 Ga 0.0000 0.8691 0.3691
Ir1 Ir 0.5000 0.0604 0.8043
Ir2 Ir 0.5000 0.4396 0.3043
Ir3 Ir 0.5000 0.5604 0.6957
Ga2 Ga 0.0000 0.6309 0.8691
Mg1 Mg 0.0000 0.6693 0.1693
Ir4 Ir 0.5000 0.3043 0.5604
Ga3 Ga 0.0000 0.3691 0.1309
Mg2 Mg 0.0000 0.3307 0.8307
Mg3 Mg 0.0000 0.1693 0.3307
Ir5 Ir 0.5000 0.8043 0.9396
Ir6 Ir 0.5000 0.0000 0.5000
Ir7 Ir 0.5000 0.9396 0.1957
Ir8 Ir 0.5000 0.5000 0.0000
Zn1 Zn 0.0000 0.0000 0.0000
Ir9 Ir 0.5000 0.6957 0.4396
Zn2 Zn 0.0000 0.5000 0.5000
Mg4 Mg 0.0000 0.8307 0.6693
Ga4 Ga 0.0000 0.1309 0.6309
Ir10 Ir 0.5000 0.1957 0.0604
# ΔE_f ... -0.23 eV per atom
# Total energy ... -5.712 eV per atom
# Symmetry ... No. 127



Record 8
# Cd4AgHg GGA-PBE relaxed
data_Cd4AgHg
_cell_length_a 5.2300
_cell_length_b 7.5914
_cell_length_c 7.6801
_cell_angle_alpha 90.00
_cell_angle_beta 90.00
_cell_angle_gamma 110.62
_space_group_name_H-M_alt 'P 1'
_space_group_IT_number 1
loop_
_space_group_symop_operation_xyz
'x,y,z'
loop_
_atom_site_label
_atom_site_type_symbol
_atom_site_fract_x
_atom_site_fract_y
_atom_site_fract_z
Cd1 Cd 0.0563 0.7731 0.0603
Cd2 Cd 0.6727 0.9806 0.2500
Cd3 Cd 0.0563 0.7731 0.4397
Ag1 Ag 0.1409 0.5895 0.7500
Cd4 Cd 0.9437 0.2269 0.9397
Cd5 Cd 0.3273 0.0194 0.7500
Hg1 Hg 0.7155 0.8265 0.7500
Ag2 Ag 0.8591 0.4105 0.2500
Cd6 Cd 0.9437 0.2269 0.5603
Hg2 Hg 0.2845 0.1735 0.2500
Cd7 Cd 0.4462 0.5803 0.2500
Cd8 Cd 0.5538 0.4197 0.7500
# ΔE_f ... 0.07 eV per atom
# Total energy ... -1.069 eV per atom
# Symmetry ... No. 11



Record 9
# SrNbPd3 GGA-PBE relaxed
data_SrNbPd3
_cell_length_a 4.9667
_cell_length_b 4.9667
_cell_length_c 4.9667
_cell_angle_alpha 90.00
_cell_angle_beta 90.00
_cell_angle_gamma 90.00
_space_group_name_H-M_alt 'P 1'
_space_group_IT_number 1
loop_
_space_group_symop_operation_xyz
'x,y,z'
loop_
_atom_site_label
_atom_site_type_symbol
_atom_site_fract_x
_atom_site_fract_y
_atom_site_fract_z
Sr1 Sr 0.5000 0.5000 0.5000
Pd1 Pd 0.5000 0.0000 0.0000
Pd2 Pd 0.0000 0.5000 0.0000
Pd3 Pd 0.0000 0.0000 0.5000
Nb1 Nb 0.0000 0.0000 0.0000
# ΔE_f ... 0.15 eV per atom
# Total energy ... -5.319 eV per atom
# Symmetry ... No. 221



Record 10
# BaSr2Y GGA-PBE relaxed
data_BaSr2Y
_cell_length_a 7.6887
_cell_length_b 7.6887
_cell_length_c 7.6887
_cell_angle_alpha 146.64
_cell_angle_beta 129.31
_cell_angle_gamma 62.05
_space_group_name_H-M_alt 'P 1'
_space_group_IT_number 1
loop_
_space_group_symop_operation_xyz
'x,y,z'
loop_
_atom_site_label
_atom_site_type_symbol
_atom_site_fract_x
_atom_site_fract_y
_atom_site_fract_z
Sr1 Sr 0.5158 0.5158 0.0000
Y1 Y 0.7500 0.2500 0.5000
Sr2 Sr 0.9842 0.9842 0.0000
Ba1 Ba 0.2500 0.7500 0.5000
# ΔE_f ... 0.18 eV per atom
# Total energy ... -2.761 eV per atom
# Symmetry ... No. 71



Record 11
# CaLa2Cd GGA-PBE relaxed
data_CaLa2Cd
_cell_length_a 6.7861
_cell_length_b 6.7861
_cell_length_c 5.7800
_cell_angle_alpha 65.17
_cell_angle_beta 65.17
_cell_angle_gamma 34.36
_space_group_name_H-M_alt 'P 1'
_space_group_IT_number 1
loop_
_space_group_symop_operation_xyz
'x,y,z'
loop_
_atom_site_label
_atom_site_type_symbol
_atom_site_fract_x
_atom_site_fract_y
_atom_site_fract_z
La1 La 0.9768 0.9768 0.0198
Cd1 Cd 0.2449 0.2449 0.2587
La2 La 0.7488 0.7488 0.7538
Ca1 Ca 0.5296 0.5296 0.4676
# ΔE_f ... -0.11 eV per atom
# Total energy ... -3.303 eV per atom
# Symmetry ... No. 8



Record 12
# Cd4HgBr GGA-PBE relaxed
data_Cd4HgBr
_cell_length_a 6.0768
_cell_length_b 6.0768
_cell_length_c 6.0768
_cell_angle_alpha 60.00
_cell_angle_beta 60.00
_cell_angle_gamma 60.00
_space_group_name_H-M_alt 'P 1'
_space_group_IT_number 1
loop_
_space_group_symop_operation_xyz
'x,y,z'
loop_
_atom_site_label
_atom_site_type_symbol
_atom_site_fract_x
_atom_site_fract_y
_atom_site_fract_z
Cd1 Cd 0.8734 0.3755 0.3755
Cd2 Cd 0.3755 0.3755 0.8734
Hg1 Hg 0.7500 0.7500 0.7500
Cd3 Cd 0.3755 0.3755 0.3755
Br1 Br 0.0000 0.0000 0.0000
Cd4 Cd 0.3755 0.8734 0.3755
# Total energy ... -0.924 eV per atom
# Formation energy without anion corrections ... 15 meV per atom
# Symmetry ... No. 216